LiTiGeIr2 after structural relaxation, computed with PBE.

## Properties
Magnetization   0.00 μB/atom
Density   8.61 g/cm³
Energy of formation   0.8612 eV/atom

Unit cell a=4.570 b=4.570 c=4.726 alpha=90.00 beta=90.00 gamma=90.00
Element x y z (fractional)
Li (0.000, 0.000, 0.000)
Ti (0.000, 0.000, 0.500)
Ge (0.500, 0.500, 0.000)
Ir (0.000, 0.500, 0.500)
Ir (0.500, 0.000, 0.500)